# KNaCoO3 | the Alexandria database | PBE with a Hubbard U | optimized geometry
data_KNaCoO3
_cell_length_a 6.208
_cell_length_b 6.208
_cell_length_c 5.425
_cell_angle_alpha 90.00
_cell_angle_beta 90.00
_cell_angle_gamma 124.81
_space_group_name_H-M_alt 'P 1'
_space_group_IT_number 1
loop_
_space_group_symop_operation_xyz
'x,y,z'
loop_
_atom_site_label
_atom_site_type_symbol
_atom_site_fract_x
_atom_site_fract_y
_atom_site_fract_z
_atom_site_occupancy
K1 K 0.250 0.750 0.750 1
K2 K 0.750 0.250 0.250 1
Na1 Na 0.080 0.920 0.250 1
Na2 Na 0.920 0.080 0.750 1
Co1 Co 0.451 0.549 0.250 1
Co2 Co 0.549 0.451 0.750 1
O1 O 0.289 0.711 0.250 1
O2 O 0.290 0.290 0.000 1
O3 O 0.290 0.290 0.500 1
O4 O 0.710 0.710 0.000 1
O5 O 0.710 0.710 0.500 1
O6 O 0.711 0.289 0.750 1
# Final energy: -4.9568 eV/atom
# Space-group type: Cmcm (63)